VASP calculation (PBE) on an optimized crystal structure of GaAgPtPb2.

```
5
Lattice="3.560 0.000 0.000 0.000 3.547 0.000 0.000 0.000 9.427" Properties=species:S:1:pos:R:3 pbc="T T T"
Ga 1.780 0.000 4.713
Ag 1.780 0.000 0.000
Pt 0.000 1.773 4.713
Pb 0.000 1.773 7.563
Pb 0.000 1.773 1.863
```

Results
uncorrected energy: -4.011 eV/atom
excess energy over the best structure of this formula in the dataset: 9 kJ/mol of formula units
total magnetic moment: 0.000 μB/f.u.
DOS at the Fermi energy: 2.00 states/eV per cell
energy of formation: -144 meV/atom
calculated volume: 119.02 Å³/f.u.
space-group type: Pmmm